1.
This record from Alexandria via LeMat-Bulk describes SrAcZnHg after structural relaxation. The functional is PBE-GGA.

Cell lengths 5.6115, 5.6115, 5.6115 Å; angles 60.00, 60.00, 60.00 degrees
Closest atoms and distances in Å follow each position.
Element x y z (fractional)
1 Sr 0.0000 0.0000 0.0000  4 Hg 3.44, 4 Zn 3.44
2 Ac 0.5000 0.5000 0.5000  4 Hg 3.44, 4 Zn 3.44
3 Zn 0.2500 0.2500 0.2500  4 Ac 3.44, 4 Sr 3.44
4 Hg 0.7500 0.7500 0.7500  4 Ac 3.44, 4 Sr 3.44

Values from the calculation:
Formation energy from the elements = -375 meV/atom
SG = No. 216
ΔE to the lowest computed polymorph = 0 meV/atom
N(E_F) = 0.561 states/eV per atom


2.
This record from Alexandria via LeMat-Bulk describes LiCuBiTe3 after structural relaxation. The functional is PBE-GGA.

Cell lengths 9.3486, 4.1833, 9.6019 Å; angles 90.00, 111.96, 90.00 degrees
Closest atoms and distances in Å follow each position.
Element x y z (fractional)
1 Li 0.2282 0.2500 0.1592  4 Te 2.86-2.92
2 Li 0.7718 0.7500 0.8408  4 Te 2.86-2.92
3 Cu 0.4204 0.7500 0.4254  4 Te 2.62-2.70, 2 Cu 2.65
4 Cu 0.5796 0.2500 0.5746  4 Te 2.62-2.70, 2 Cu 2.65
5 Bi 0.2694 0.7500 0.8177  5 Te 3.01-3.34
6 Bi 0.7306 0.2500 0.1823  5 Te 3.01-3.34
7 Te 0.0467 0.2500 0.8376  1 Li 2.92, 2 Bi 3.01
8 Te 0.2759 0.2500 0.4715  3 Cu 2.62-2.63, 1 Li 2.86
9 Te 0.4417 0.7500 0.1524  1 Cu 2.70, 2 Li 2.91, 1 Bi 3.01
10 Te 0.5583 0.2500 0.8476  1 Cu 2.70, 2 Li 2.91, 1 Bi 3.01
11 Te 0.7241 0.7500 0.5285  3 Cu 2.62-2.63, 1 Li 2.86
12 Te 0.9533 0.7500 0.1624  1 Li 2.92, 2 Bi 3.01

Values from the calculation:
Raw formation energy = -281 meV/atom
SG = No. 11
N(E_F) = 0.441 states/eV per atom


3.
This record from Alexandria via LeMat-Bulk describes ZrTaTi2N4 after structural relaxation. The functional is PBE-GGA.

Cell lengths 5.3780, 3.1004, 5.3908 Å; angles 90.00, 109.52, 90.00 degrees
Closest atoms and distances in Å follow each position.
Element x y z (fractional)
1 Zr 0.0000 0.0000 0.0000  6 N 2.26
2 Ta 0.0000 0.5000 0.5000  6 N 2.21
3 Ti 0.5000 0.0000 0.5000  6 N 2.13-2.14
4 Ti 0.5000 0.5000 0.0000  6 N 2.18-2.19
5 N 0.2605 0.0000 0.7463  3 Ti 2.14-2.18, 2 Ta 2.21, 1 Zr 2.26
6 N 0.2649 0.5000 0.2632  3 Ti 2.13-2.19, 1 Ta 2.21, 2 Zr 2.26
7 N 0.7351 0.5000 0.7368  3 Ti 2.13-2.19, 1 Ta 2.21, 2 Zr 2.26
8 N 0.7395 0.0000 0.2537  3 Ti 2.14-2.18, 2 Ta 2.21, 1 Zr 2.26

Values from the calculation:
Raw formation energy = -1490 meV/atom
SG = No. 10
N(E_F) = 0.244 states/eV per atom


4.
This record from Alexandria via LeMat-Bulk describes ThScGeS after structural relaxation. The functional is PBE-GGA.

Cell lengths 5.6190, 5.6190, 5.6190 Å; angles 49.54, 49.54, 49.54 degrees
Closest atoms and distances in Å follow each position.
Element x y z (fractional)
1 Th 0.0000 0.0000 0.0000  3 S 2.75
2 Sc 0.4935 0.4935 0.4935  3 Ge 2.78, 1 S 2.80
3 Ge 0.7869 0.7869 0.7869  3 Sc 2.78
4 S 0.3039 0.3039 0.3039  3 Th 2.75, 1 Sc 2.80

Values from the calculation:
Raw formation energy = -982 meV/atom
SG = No. 160
N(E_F) = 0.866 states/eV per atom


5.
This record from Alexandria via LeMat-Bulk describes Mn2AlCo after structural relaxation. The functional is PBE-GGA.

Cell lengths 3.9969, 3.9969, 3.2064 Å; angles 90.00, 90.00, 90.00 degrees
Closest atoms and distances in Å follow each position.
Element x y z (fractional)
1 Mn 0.0000 0.5000 0.0000  4 Co 2.56, 4 Al 2.56, 4 Mn 2.83
2 Mn 0.5000 0.0000 0.0000  4 Co 2.56, 4 Al 2.56, 4 Mn 2.83
3 Al 0.0000 0.0000 0.5000  8 Mn 2.56, 4 Co 2.83
4 Co 0.5000 0.5000 0.5000  8 Mn 2.56, 4 Al 2.83

Values from the calculation:
Formation energy from the elements = -132 meV/atom
SG = No. 123
ΔE to the lowest computed polymorph = 133 meV/atom
N(E_F) = 0.497 states/eV per atom


6.
This record from Alexandria via LeMat-Bulk describes AcThBiAu after structural relaxation. The functional is PBE-GGA.

Cell lengths 5.5745, 5.5745, 5.5745 Å; angles 60.00, 60.00, 60.00 degrees
Closest atoms and distances in Å follow each position.
Element x y z (fractional)
1 Ac 0.0000 0.0000 0.0000  4 Au 3.41, 4 Bi 3.41
2 Th 0.5000 0.5000 0.5000  4 Au 3.41, 4 Bi 3.41
3 Bi 0.2500 0.2500 0.2500  4 Ac 3.41, 4 Th 3.41
4 Au 0.7500 0.7500 0.7500  4 Ac 3.41, 4 Th 3.41

Values from the calculation:
Formation energy from the elements = -493 meV/atom
SG = No. 216
N(E_F) = 1.382 states/eV per atom


7.
This record from Alexandria via LeMat-Bulk describes Er6Si2SnSe3 after structural relaxation. The functional is PBE-GGA.

Cell lengths 9.2569, 9.2569, 8.3453 Å; angles 103.36, 103.36, 25.53 degrees
Closest atoms and distances in Å follow each position.
Element x y z (fractional)
1 Er 0.0047 0.0047 0.2611  1 Si 2.84, 3 Se 2.87-2.99, 2 Sn 2.98
2 Er 0.3280 0.3280 0.4259  3 Si 2.83-2.85, 3 Se 2.99-3.02
3 Er 0.3295 0.3295 0.9005  2 Si 2.84, 3 Se 2.88-3.01, 1 Sn 2.99
4 Er 0.6705 0.6705 0.0995  2 Si 2.84, 3 Se 2.88-3.01, 1 Sn 2.99
5 Er 0.6720 0.6720 0.5741  3 Si 2.83-2.85, 3 Se 2.99-3.02
6 Er 0.9953 0.9953 0.7389  1 Si 2.84, 3 Se 2.87-2.99, 2 Sn 2.98
7 Si 0.1666 0.1666 0.3343  6 Er 2.83-2.85
8 Si 0.8334 0.8334 0.6657  6 Er 2.83-2.85
9 Sn 0.5000 0.5000 0.0000  6 Er 2.98-2.99
10 Se 0.1656 0.1656 0.8320  6 Er 2.88-3.01
11 Se 0.5000 0.5000 0.5000  6 Er 2.87-3.02
12 Se 0.8344 0.8344 0.1680  6 Er 2.88-3.01

Values from the calculation:
Raw formation energy = -1239 meV/atom
SG = No. 12
N(E_F) = 0.252 states/eV per atom


8.
This record from Alexandria via LeMat-Bulk describes Ce5Pu2Os5 after structural relaxation. The functional is PBE-GGA.

Cell lengths 6.8192, 6.8192, 11.8266 Å; angles 105.94, 105.94, 33.48 degrees
Closest atoms and distances in Å follow each position.
Element x y z (fractional)
1 Ce 0.0000 0.0000 0.0000  4 Os 2.77
2 Ce 0.1562 0.1562 0.5500  4 Os 2.77-2.96
3 Ce 0.2331 0.2331 0.8514  5 Os 2.79-3.01
4 Ce 0.7669 0.7669 0.1486  5 Os 2.79-3.01
5 Ce 0.8438 0.8438 0.4500  4 Os 2.77-2.96
6 Pu 0.4579 0.4579 0.7147  4 Os 2.71-2.76
7 Pu 0.5421 0.5421 0.2853  4 Os 2.71-2.76
8 Os 0.1939 0.1939 0.3026  2 Pu 2.76, 4 Ce 2.96-3.01
9 Os 0.3863 0.3863 0.0765  1 Pu 2.71, 5 Ce 2.77-2.83
10 Os 0.5000 0.5000 0.5000  2 Pu 2.75, 4 Ce 2.77
11 Os 0.6137 0.6137 0.9235  1 Pu 2.71, 5 Ce 2.77-2.83
12 Os 0.8061 0.8061 0.6974  2 Pu 2.76, 4 Ce 2.96-3.01

Values from the calculation:
Formation energy from the elements = -8 meV/atom
SG = No. 12
N(E_F) = 2.099 states/eV per atom


9.
This record from Alexandria via LeMat-Bulk describes LiCrOs2 after structural relaxation. The functional is PBE-GGA.

Cell lengths 2.9111, 2.9111, 6.2742 Å; angles 90.00, 90.00, 90.00 degrees
Closest atoms and distances in Å follow each position.
Element x y z (fractional)
1 Li 0.0000 0.0000 0.0000  4 Cr 2.51, 4 Os 2.53
2 Cr 0.5000 0.5000 0.7702  4 Li 2.51, 4 Os 2.67
3 Os 0.0000 0.0000 0.4984  8 Os 2.64-2.91, 4 Cr 2.67
4 Os 0.5000 0.5000 0.2349  4 Li 2.53, 4 Os 2.64

Values from the calculation:
Formation energy from the elements = 373 meV/atom
SG = No. 99
ΔE to the lowest computed polymorph = 266 meV/atom
N(E_F) = 0.606 states/eV per atom


10.
This record from Alexandria via LeMat-Bulk describes Re2PtRh after structural relaxation. The functional is PBE-GGA.

Cell lengths 2.7056, 2.7056, 8.0804 Å; angles 90.00, 90.00, 90.00 degrees
Closest atoms and distances in Å follow each position.
Element x y z (fractional)
1 Re 0.0000 0.0000 0.2445  4 Re 2.71, 4 Rh 2.75, 4 Pt 2.81
2 Re 0.0000 0.0000 0.7555  4 Re 2.71, 4 Rh 2.75, 4 Pt 2.81
3 Pt 0.5000 0.5000 0.5000  4 Pt 2.71, 8 Re 2.81
4 Rh 0.5000 0.5000 0.0000  4 Rh 2.71, 8 Re 2.75

Values from the calculation:
Formation energy from the elements = -28 meV/atom
SG = No. 123
ΔE to the lowest computed polymorph = 95 meV/atom
N(E_F) = 0.730 states/eV per atom


11.
This record from Alexandria via LeMat-Bulk describes ZnSn2Bi2 after structural relaxation. The functional is PBE-GGA.

Cell lengths 7.9385, 7.9385, 7.9385 Å; angles 143.15, 143.15, 53.10 degrees
Closest atoms and distances in Å follow each position.
Element x y z (fractional)
1 Zn 0.0000 0.0000 0.0000  8 Bi 3.93, 8 Sn 4.35
2 Sn 0.2500 0.7500 0.5000  4 Bi 3.13
3 Sn 0.7500 0.2500 0.5000  4 Bi 3.13
4 Bi 0.3814 0.3814 0.0000  4 Sn 3.13, 1 Bi 3.37
5 Bi 0.6186 0.6186 0.0000  4 Sn 3.13, 1 Bi 3.37

Values from the calculation:
Formation energy from the elements = 251 meV/atom
SG = No. 139
ΔE to the lowest computed polymorph = 41 meV/atom
N(E_F) = 0.247 states/eV per atom


12.
This record from Alexandria via LeMat-Bulk describes LaTl3N after structural relaxation. The functional is PBE-GGA.

Cell lengths 6.3103, 6.3103, 6.3103 Å; angles 90.00, 90.00, 90.00 degrees
Closest atoms and distances in Å follow each position.
Element x y z (fractional)
1 La 0.0000 0.0000 0.0000  6 Tl 3.16
2 Tl 0.0000 0.0000 0.5000  2 La 3.16
3 Tl 0.0000 0.5000 0.0000  2 La 3.16
4 Tl 0.5000 0.0000 0.0000  2 La 3.16
5 N 0.5000 0.5000 0.5000  12 Tl 4.46

Values from the calculation:
Raw formation energy = 1490 meV/atom
SG = No. 221
ΔE to the lowest computed polymorph = 992 meV/atom
N(E_F) = 1.168 states/eV per atom


Number 1: total magnetic moment 0.00 Bohr magnetons per cell. Number 2: total magnetic moment 0.00 Bohr magnetons per cell. Number 3: total magnetic moment 0.00 Bohr magnetons per cell. Number 4: total magnetic moment 0.00 Bohr magnetons per cell. Number 5: total magnetic moment 7.64 Bohr magnetons per cell. Number 6: total magnetic moment 0.00 Bohr magnetons per cell. Number 7: total magnetic moment 0.00 Bohr magnetons per cell. Number 8: total magnetic moment 10.99 Bohr magnetons per cell. Number 9: total magnetic moment 3.11 Bohr magnetons per cell. Number 10: total magnetic moment 0.00 Bohr magnetons per cell. Number 11: total magnetic moment 0.00 Bohr magnetons per cell. Number 12: total magnetic moment 1.32 Bohr magnetons per cell.